1.
Density functional theory data (PBE) for a relaxed structure of Sr2GaNiAu.

a = 5.646 Å, b = 5.646 Å, c = 4.504 Å
α = 90.00°, β = 90.00°, γ = 90.00°
Element x y z (fractional)
Sr1 0.000 0.500 0.000
Sr2 0.500 0.000 0.000
Ga1 0.000 0.000 0.500
Ni1 0.000 0.000 0.000
Au1 0.500 0.500 0.500

Calculated values
The value obtained for the density of states at the Fermi level is 0.793 states/eV per atom. The crystal system is tetragonal. Its space group is No. 123. The total energy comes out at -3.40 eV per atom. The formation energy is -0.312 eV per atom.

2.
Density functional theory data (PBE) for a relaxed structure of SrGa2NiAu.

a = 4.588 Å, b = 4.588 Å, c = 5.133 Å
α = 90.00°, β = 90.00°, γ = 90.00°
Element x y z (fractional)
Sr1 0.000 0.000 0.000
Ga1 0.000 0.500 0.500
Ga2 0.500 0.000 0.500
Ni1 0.500 0.500 0.500
Au1 0.500 0.500 0.000

Calculated values
The value obtained for the density of states at the Fermi level is 0.554 states/eV per atom. The crystal system is tetragonal. Its space group is No. 123. The total energy comes out at -3.74 eV per atom. The formation energy is -0.385 eV per atom.

3.
Density functional theory data (PBE) for a relaxed structure of Ga2TcNiAu.

a = 4.826 Å, b = 4.826 Å, c = 4.456 Å
α = 90.00°, β = 90.00°, γ = 90.00°
Element x y z (fractional)
Ga1 0.000 0.500 0.000
Ga2 0.500 0.000 0.000
Tc1 0.000 0.000 0.000
Ni1 0.000 0.000 0.500
Au1 0.500 0.500 0.500

Calculated values
The value obtained for the density of states at the Fermi level is 0.729 states/eV per atom. The crystal system is tetragonal. Its space group is No. 123. The total energy comes out at -4.37 eV per atom. The formation energy is 0.724 eV per atom.

4.
Density functional theory data (PBE) for a relaxed structure of Th2Ga4Ni3Au.

a = 4.205 Å, b = 4.205 Å, c = 10.176 Å
α = 90.00°, β = 90.00°, γ = 90.00°
Element x y z (fractional)
Th1 0.000 0.500 0.241
Th2 0.500 0.000 0.759
Ga1 0.000 0.000 0.000
Ga2 0.000 0.500 0.642
Ga3 0.500 0.000 0.358
Ga4 0.500 0.500 0.000
Ni1 0.000 0.500 0.874
Ni2 0.500 0.000 0.126
Ni3 0.500 0.500 0.500
Au1 0.000 0.000 0.500

Calculated values
The value obtained for the density of states at the Fermi level is 0.833 states/eV per atom. The crystal system is tetragonal. Its space group is No. 115. The total energy comes out at -5.34 eV per atom. The formation energy is -0.580 eV per atom.

What did the fourth record say?
Density functional theory data (PBE) for a relaxed structure of Th2Ga4Ni3Au.

a = 4.205 Å, b = 4.205 Å, c = 10.176 Å
α = 90.00°, β = 90.00°, γ = 90.00°
Element x y z (fractional)
Th1 0.000 0.500 0.241
Th2 0.500 0.000 0.759
Ga1 0.000 0.000 0.000
Ga2 0.000 0.500 0.642
Ga3 0.500 0.000 0.358
Ga4 0.500 0.500 0.000
Ni1 0.000 0.500 0.874
Ni2 0.500 0.000 0.126
Ni3 0.500 0.500 0.500
Au1 0.000 0.000 0.500

Calculated values
The value obtained for the density of states at the Fermi level is 0.833 states/eV per atom. The crystal system is tetragonal. Its space group is No. 115. The total energy comes out at -5.34 eV per atom. The formation energy is -0.580 eV per atom.